A plane-wave DFT calculation with PBE-GGA was carried out for crystalline PaAl11Rh at its relaxed geometry.

Properties
As for the formation energy from the elements: -0.259 eV/atom. The density of states at the Fermi level is 7.97 states/eV/f.u. The density comes out at 4.789 g/cm³. For the volume, the calculation gives 16.8 Å³/atom. The symmetry is C2/m.

abc: 5.2101 7.0842 6.8149
angles: 82.57 67.53 70.22
Last column: nearest neighbours and their distance in Å.
Sites, in units of the cell vectors:
1 Al 0.0000 0.0000 0.5000  10 Al 2.61-2.91
2 Al 0.3565 0.6441 0.6512  8 Al 2.71-2.96, 1 Rh 2.73
3 Al 0.2867 0.2199 0.2131  1 Rh 2.61, 6 Al 2.65-2.91
4 Al 0.4998 0.2199 0.7869  1 Rh 2.61, 6 Al 2.65-2.91
5 Al 0.5002 0.7801 0.2131  1 Rh 2.61, 6 Al 2.65-2.91
6 Al 0.0000 0.5000 0.0000  2 Rh 2.61, 8 Al 2.68-2.72
7 Al 0.0077 0.6441 0.3488  8 Al 2.71-2.96, 1 Rh 2.73
8 Al 0.9923 0.3559 0.6512  8 Al 2.71-2.96, 1 Rh 2.73
9 Rh 0.5000 0.5000 0.0000  10 Al 2.61-2.73
10 Al 0.6435 0.3559 0.3488  8 Al 2.71-2.96, 1 Rh 2.73
11 Al 0.5000 0.0000 0.5000  10 Al 2.61-2.91
12 Al 0.7133 0.7801 0.7869  1 Rh 2.61, 6 Al 2.65-2.91
13 Pa 0.0000 0.0000 0.0000  18 Al 3.23-3.54, 2 Rh 3.62


A plane-wave DFT calculation with PBE-GGA was carried out for crystalline CsHgRuCl6 at its relaxed geometry.

Properties
The density of states at the Fermi level is 6.39 states/eV/f.u. As for the formation energy without anion corrections: -0.886 eV per atom. The density comes out at 3.517 g/cm³. For the volume, the calculation gives 34.0 Å³/atom. The symmetry is P312.

abc: 6.8196 6.8197 7.5883
angles: 90.01 89.99 59.99
Last column: nearest neighbours and their distance in Å.
Sites, in units of the cell vectors:
1 Cl 0.3885 0.9569 0.6789  1 Ru 2.37
2 Cl 0.6546 0.9566 0.3210  1 Ru 2.37
3 Cl 0.9568 0.3885 0.3211  1 Ru 2.37
4 Hg 0.3334 0.3334 0.5000  6 Cl 2.76
5 Ru 0.6666 0.6667 0.5000  6 Cl 2.37
6 Cl 0.3888 0.6545 0.3210  1 Ru 2.37
7 Cl 0.9566 0.6547 0.6790  1 Ru 2.37
8 Cs 0.0000 0.0000 0.0000  6 Cl 3.50
9 Cl 0.6544 0.3888 0.6790  1 Ru 2.37


A plane-wave DFT calculation with PBE-GGA was carried out for crystalline Sr3H9Pd2 at its relaxed geometry.

Properties
Its uncorrected energy is -0.2742 Ry/atom. The density of states at the Fermi level is 1.09 states/eV/f.u. The density comes out at 4.859 g/cm³. For the volume, the calculation gives 11.8 Å³/atom. The symmetry is P-3m1.

abc: 5.3649 5.3649 6.6467
angles: 90.00 90.00 120.00
Last column: nearest neighbours and their distance in Å.
Sites, in units of the cell vectors:
1 Sr 0.0000 0.0000 0.0000  12 H 2.62-2.68
2 Pd 0.3333 0.6667 0.8290  6 H 1.79-1.92
3 H 0.1707 0.3414 0.6860  1 Pd 1.79
4 Sr 0.6667 0.3333 0.6579  12 H 2.69-2.75
5 H 0.5000 0.0000 0.0000  2 Pd 1.92
6 H 0.1707 0.8293 0.6860  1 Pd 1.79
7 H 0.3414 0.1707 0.3140  1 Pd 1.79
8 H 0.6586 0.8293 0.6860  1 Pd 1.79
9 H 0.5000 0.5000 0.0000  2 Pd 1.92
10 H 0.0000 0.5000 0.0000  2 Pd 1.92
11 H 0.8293 0.1707 0.3140  1 Pd 1.79
12 Pd 0.6667 0.3333 0.1710  6 H 1.79-1.92
13 Sr 0.3333 0.6667 0.3421  12 H 2.69-2.75
14 H 0.8293 0.6586 0.3140  1 Pd 1.79


Asked for total moment across the records above, the calculation gives 0.000 1.005 0.000 μB per formula unit in order.